PrY6Ni2, relaxed, DFT PBE-GGA; crystal system = orthorhombic; energy of formation from the pure elements = -11.2 kJ per mole of atoms; space-group type = No. 71
1.0
8.246 0.288 -2.557
-4.745 6.855 -2.263
0.117 -0.288 8.633
Pr Y Ni
2 12 4
Direct
0.000 0.500 0.500
0.000 0.000 0.000
0.497 0.305 0.192
0.503 0.695 0.808
0.887 0.695 0.192
0.113 0.305 0.808
0.222 0.780 0.001
0.778 0.220 0.999
0.778 0.780 0.558
0.222 0.220 0.442
0.303 0.992 0.689
0.697 0.008 0.311
0.697 0.386 0.689
0.303 0.614 0.311
0.500 0.382 0.882
0.500 0.618 0.118
0.377 0.000 0.377
0.623 0.000 0.623

=====

ScTa2Os, relaxed, DFT PBE-GGA; crystal system = trigonal; energy of formation from the pure elements = 16.2 kJ per mole of atoms; space-group type = No. 166
1.0
-6.763 5.587 4.007
-8.426 3.190 3.441
-6.827 3.332 5.942
Os Sc Ta
1 1 2
Direct
0.250 0.250 0.250
0.750 0.750 0.750
0.993 0.993 0.993
0.507 0.507 0.507

=====

LaIr4Rh, relaxed, DFT PBE-GGA; crystal system = cubic; energy of formation from the pure elements = -4.0 kJ per mole of atoms; space-group type = No. 216
1.0
5.267 -0.293 0.762
2.031 0.710 4.877
2.084 -4.131 2.647
La Ir Rh
1 4 1
Direct
0.750 0.750 0.750
0.877 0.374 0.374
0.374 0.374 0.877
0.374 0.877 0.374
0.374 0.374 0.374
0.000 0.000 0.000

=====

Pm2CuGe4Rh3, relaxed, DFT PBE-GGA; crystal system = tetragonal; energy of formation from the pure elements = -72.5 kJ per mole of atoms; space-group type = No. 115
1.0
4.293 0.000 0.000
0.000 4.293 0.000
0.000 0.000 9.989
Pm Cu Ge Rh
2 1 4 3
Direct
0.500 0.000 0.246
0.000 0.500 0.754
0.500 0.500 0.500
0.500 0.500 0.000
0.000 0.000 0.000
0.500 0.000 0.629
0.000 0.500 0.371
0.000 0.000 0.500
0.500 0.000 0.874
0.000 0.500 0.126

=====

LiNdY2Tl4, relaxed, DFT PBE-GGA; crystal system = trigonal; energy of formation from the pure elements = -33.4 kJ per mole of atoms; space-group type = No. 166
1.0
5.280 0.000 0.000
2.640 4.573 0.000
2.640 1.524 8.943
Li Nd Y Tl
1 1 2 4
Direct
0.500 0.500 0.500
0.000 0.000 0.000
0.755 0.755 0.735
0.245 0.245 0.265
0.378 0.378 0.865
0.872 0.872 0.384
0.128 0.128 0.616
0.622 0.622 0.135

=====

InSb2S, relaxed, DFT PBE-GGA; crystal system = cubic; energy above the lowest structure with this stoichiometry = 28.9 kJ/mol of formula units; energy relative to the elements, uncorrected = 25 kJ/mol of atoms; space-group type = No. 225
1.0
-4.438 0.648 2.519
-4.468 -0.880 -2.393
-2.847 -4.086 1.288
Sb S In
2 1 1
Direct
0.250 0.250 0.250
0.750 0.750 0.750
0.000 0.000 0.000
0.500 0.500 0.500

=====

Nd2TmZr, relaxed, DFT PBE-GGA; crystal system = tetragonal; energy above the lowest structure with this stoichiometry = 0.0 kJ/mol of formula units; energy of formation from the pure elements = 11.7 kJ per mole of atoms; space-group type = No. 123
1.0
4.903 0.000 0.000
0.000 4.951 0.000
0.000 0.000 4.951
Tm Nd Zr
1 2 1
Direct
0.500 0.000 0.000
0.000 0.000 0.500
0.000 0.500 0.000
0.500 0.500 0.500

=====

PmY2AgC, relaxed, DFT PBE-GGA; crystal system = tetragonal; energy of formation from the pure elements = -17.2 kJ per mole of atoms; space-group type = No. 99
1.0
4.846 0.000 0.000
0.000 4.846 0.000
0.000 0.000 5.215
Pm Y Ag C
1 2 1 1
Direct
0.000 0.000 0.492
0.000 0.500 0.995
0.500 0.000 0.995
0.500 0.500 0.506
0.000 0.000 0.013

=====

Rb2AlPbF6, relaxed, DFT PBE-GGA; crystal system = orthorhombic; energy above the lowest structure with this stoichiometry = 13.4 kJ/mol of formula units; energy relative to the elements, uncorrected = -267 kJ/mol of atoms; space-group type = No. 59
1.0
-3.834 4.001 -2.340
-1.718 -4.859 -5.494
-6.201 -3.169 4.742
Rb Al Pb F
4 2 2 12
Direct
0.500 0.813 0.240
0.000 0.187 0.740
0.500 0.813 0.760
0.000 0.187 0.260
0.500 0.211 0.500
0.000 0.789 0.000
0.000 0.683 0.500
0.500 0.317 0.000
0.500 0.206 0.277
0.500 0.206 0.723
0.000 0.794 0.223
0.000 0.794 0.777
0.287 0.033 0.500
0.713 0.033 0.500
0.276 0.374 0.500
0.724 0.374 0.500
0.776 0.626 0.000
0.224 0.626 0.000
0.213 0.967 0.000
0.787 0.967 0.000

=====

NpInSb, relaxed, DFT PBE-GGA; crystal system = hexagonal; energy above the lowest structure with this stoichiometry = 52.9 kJ/mol of formula units; energy relative to the elements, uncorrected = 6 kJ/mol of atoms; space-group type = No. 187
1.0
-2.955 -0.770 0.679
1.471 -1.263 4.970
-1.558 4.974 -1.138
Np Sb In
1 1 1
Direct
0.333 0.333 0.667
0.833 0.000 0.000
0.834 0.667 0.333

=====

Hf3Tl2Cu2Se8, relaxed, DFT PBE-GGA; crystal system = monoclinic; energy relative to the elements, uncorrected = -93 kJ/mol of atoms; space-group type = No. 12
1.0
-5.857 4.916 -1.814
-7.533 2.217 0.323
-2.552 9.730 10.292
Tl Hf Se Cu
2 3 8 2
Direct
0.653 0.653 0.213
0.347 0.347 0.787
0.339 0.339 0.377
0.661 0.661 0.623
0.500 0.500 0.000
0.098 0.098 0.049
0.969 0.969 0.357
0.031 0.031 0.643
0.297 0.297 0.580
0.703 0.703 0.420
0.649 0.649 0.814
0.351 0.351 0.186
0.902 0.902 0.951
0.948 0.948 0.199
0.052 0.052 0.801

=====

Pd5Pb6, relaxed, DFT PBE-GGA; crystal system = triclinic; energy above the lowest structure with this stoichiometry = 0.0 kJ/mol of formula units; energy of formation from the pure elements = -15.5 kJ per mole of atoms; space-group type = No. 2
1.0
-4.798 0.118 -0.017
-0.131 -4.588 5.186
2.635 7.865 2.386
Pd Pb
5 6
Direct
0.000 0.500 0.000
0.681 0.679 0.358
0.319 0.321 0.642
0.320 0.819 0.639
0.680 0.181 0.361
0.500 0.753 0.000
0.500 0.247 0.000
0.839 0.088 0.678
0.839 0.590 0.678
0.161 0.912 0.322
0.161 0.410 0.322